! SrLa5F17 meta-GGA SCAN single point on PBEsol structure; values from VASP
! spin magnetization: 0.00 μB per cell
! mass density: 5.731 g cm⁻³
! raw formation energy: -4.423 eV/atom
! space-group type: P1 (1)
&SYSTEM
  ibrav = 0, nat = 23, ntyp = 3
/
ATOMIC_SPECIES
Sr 87.62 Sr.upf
La 138.91 La.upf
F 19.00 F.upf
ATOMIC_POSITIONS angstrom
Sr 0.000 0.000 0.000
La 1.289 2.180 3.392
La 3.505 2.123 7.020
La 4.809 4.083 3.391
La 7.063 4.283 7.020
La 8.172 6.255 3.421
F 2.434 4.212 3.720
F 1.398 1.744 1.081
F 4.496 4.139 5.757
F 5.794 6.259 3.278
F 2.439 0.069 6.479
F 4.934 4.499 1.064
F 3.505 1.904 4.628
F 3.713 2.281 2.194
F 4.380 0.026 0.999
F 6.968 4.391 4.631
F 5.823 2.180 0.018
F 5.987 2.048 3.790
F 7.200 3.961 2.199
F 8.702 6.188 5.701
F 8.176 2.308 5.785
F 6.904 0.023 2.556
F 9.345 4.086 0.207
CELL_PARAMETERS angstrom
7.053 0.000 0.000
3.512 6.237 0.000
0.048 0.053 7.279

---

! Li2HgMoAs meta-GGA SCAN single point on PBEsol structure; values from VASP
! spin magnetization: 0.00 μB per cell
! formation energy: 0.19 eV/atom
! mass density: 6.867 g cm⁻³
! space-group type: P4/mmm (123)
&SYSTEM
  ibrav = 0, nat = 5, ntyp = 4
/
ATOMIC_SPECIES
Li 6.94 Li.upf
Hg 200.59 Hg.upf
Mo 95.94 Mo.upf
As 74.92 As.upf
ATOMIC_POSITIONS angstrom
Li 0.000 2.214 0.000
Li 2.214 0.000 0.000
Hg 0.000 0.000 2.377
Mo 2.214 2.214 2.377
As 2.214 2.214 0.000
CELL_PARAMETERS angstrom
4.427 0.000 0.000
0.000 4.427 0.000
0.000 0.000 4.754